RbUPtS2, optimized geometry, DFT PBE; crystal system = monoclinic; energy relative to the elements, uncorrected = -0.997 eV/atom; M_tot = 2.9 μB/f.u.
1.0
8.088 0.000 0.000
0.000 4.797 0.000
-1.508 0.000 7.221
Rb U Pt S
2 2 2 4
Cartesian
-0.377 0.948 1.805
-1.131 3.849 5.416
2.913 2.372 5.416
3.667 2.426 1.805
4.044 0.000 0.000
3.290 0.000 3.611
0.712 1.443 6.863
1.466 3.354 3.253
5.114 1.443 3.968
5.868 3.354 0.358

=====

RbU4Pt3S12, optimized geometry, DFT PBE; crystal system = cubic; energy relative to the elements, uncorrected = -0.922 eV/atom; M_tot = 7.0 μB/f.u.
1.0
-4.895 4.895 4.895
4.895 -4.895 4.895
4.895 4.895 -4.895
Rb U Pt S
1 4 3 12
Cartesian
0.000 0.000 0.000
2.447 2.447 -2.447
2.447 -2.447 2.447
-2.447 2.447 2.447
2.447 2.447 2.447
4.895 0.000 0.000
0.000 4.895 0.000
0.000 0.000 4.895
4.895 3.308 -1.752
3.143 0.000 1.587
6.647 0.000 1.587
1.587 3.143 0.000
3.308 -1.752 4.895
0.000 1.587 3.143
4.895 3.308 1.752
1.587 6.647 0.000
3.308 1.752 4.895
-1.752 4.895 3.308
1.752 4.895 3.308
0.000 1.587 6.647

=====

Rb2U2PtS6, optimized geometry, DFT PBE; crystal system = monoclinic; energy relative to the elements, uncorrected = -1.103 eV/atom; M_tot = 2.0 μB/f.u.
1.0
3.198 -6.432 0.000
3.198 6.432 0.000
-1.757 0.000 7.866
Rb U Pt S
2 2 1 6
Cartesian
3.198 4.594 0.000
3.198 -4.594 0.000
2.320 2.042 3.933
2.320 -2.042 3.933
-0.879 0.000 3.933
0.330 2.592 5.483
1.081 0.000 2.655
0.330 -2.592 5.483
4.310 2.592 2.382
3.559 0.000 5.211
4.310 -2.592 2.382

=====

Rb2YPtS, optimized geometry, DFT PBE; crystal system = tetragonal; energy relative to the elements, uncorrected = -0.158 eV/atom; M_tot = 0.0 μB/f.u.
1.0
5.997 0.000 0.000
0.000 5.997 0.000
0.000 0.000 5.239
Rb Y Pt S
2 1 1 1
Cartesian
0.000 2.998 0.000
2.998 0.000 0.000
0.000 0.000 2.620
2.998 2.998 2.620
0.000 0.000 0.000

=====

Rb3Sb2Pt, optimized geometry, DFT PBE; crystal system = monoclinic; energy relative to the elements, uncorrected = -0.237 eV/atom; M_tot = 0.0 μB/f.u.; energy above the lowest structure with this stoichiometry = 0.139 eV per atom
1.0
10.981 -2.208 0.000
10.981 2.208 0.000
-6.865 0.000 12.117
Rb Sb Pt
6 4 2
Cartesian
-0.795 0.000 2.949
0.301 0.000 7.436
0.578 0.000 11.850
14.518 0.000 0.267
14.795 0.000 4.681
15.891 0.000 9.168
-2.506 0.000 9.602
6.128 0.000 6.447
8.968 0.000 5.670
17.602 0.000 2.515
6.978 0.000 3.897
8.118 0.000 8.219

=====

Rb2SbPt, optimized geometry, DFT PBE; crystal system = tetragonal; energy relative to the elements, uncorrected = -0.299 eV/atom; M_tot = 0.0 μB/f.u.
1.0
-6.586 6.586 2.504
6.586 -6.586 2.504
6.586 6.586 -2.504
Rb Sb Pt
4 2 2
Cartesian
-0.543 3.293 0.626
3.293 6.043 1.878
0.543 9.878 0.626
-3.293 7.129 1.878
6.586 0.000 1.252
0.000 0.000 2.504
0.000 0.000 0.000
0.000 6.586 1.252